(1)
An optimized crystal structure of FeCuW. Source: Alexandria via LeMat-Bulk, functional PBE.

Unit cell a=3.9675 b=3.9675 c=3.9675 alpha=60.00 beta=60.00 gamma=60.00
Closest atoms and distances in Å follow each position.
Fractional coordinates of all 3 atoms:
Fe 0.0000 0.0000 0.0000  4 Cu 2.43, 4 W 2.43
Cu 0.7500 0.7500 0.7500  4 Fe 2.43
W 0.2500 0.2500 0.2500  4 Fe 2.43

Fermi-level density of states, states/eV/f.u.: 3.556
Spin magnetization, μB/atom: 0.001
Total DFT energy (no corrections), eV per atom: -7.801
Energy of formation, eV per formula unit: 2.110
Energy above the most stable polymorph in this dataset, meV per atom: 471

***

(2)
An optimized crystal structure of FeCuW2. Source: Alexandria via LeMat-Bulk, functional PBE.

Unit cell a=4.6474 b=4.6474 c=4.8050 alpha=97.39 beta=97.39 gamma=33.08
Closest atoms and distances in Å follow each position.
Fractional coordinates of all 4 atoms:
Fe 0.0000 0.0000 0.0000  2 Fe 2.65, 7 W 2.66-2.83, 3 Cu 2.66-2.71
Cu 0.7424 0.7424 0.2415  7 W 2.64-2.81, 2 Cu 2.65, 3 Fe 2.66-2.71
W 0.2517 0.2517 0.7590  5 W 2.65-2.85, 3 Fe 2.66-2.70, 4 Cu 2.68-2.81
W 0.4910 0.4910 0.4766  3 Cu 2.64-2.69, 5 W 2.65-2.85, 4 Fe 2.66-2.83

Fermi-level density of states, states/eV/f.u.: 2.988
Spin magnetization, μB/atom: 0.437
Total DFT energy (no corrections), eV per atom: -9.310
Energy of formation, eV per formula unit: 1.225
Energy above the most stable polymorph in this dataset, meV per atom: 96